# Nd8Y2Pu

Nd8Y2Pu after structural relaxation (PBE, Alexandria via LeMat-Bulk).

The value obtained for the energy relative to the elements is 162.2 meV per atom. The value obtained for the density of states at the Fermi level is 38.8 states/eV/cell. The calculated density comes out at 6.8 g cm⁻³. The total energy comes out at -127.2 eV/cell.

The structure belongs to space group C2/m (No. 12); the cell edges are 11.226, 7.084 and 11.059 Å and the angles 90.00°, 119.62° and 90.00°. The inequivalent atoms are Nd at (0.010, 0.249, 0.261), Nd at (0.183, 0.500, 0.062), Nd at (0.183, 0.500, 0.631), Y at (0.171, 0.000, 0.579) and Pu at (0.000, 0.000, 0.000).